Here is a relaxed structure of AcCr2RuO8 from Alexandria via LeMat-Bulk. Energies are from GGA+U.

Structure (CIF):
```
data_AcCr2RuO8
_chemical_formula_sum 'Ac2 Cr4 Ru2 O16'
_symmetry_space_group_name_H-M 'C 1 2/m 1'
_symmetry_Int_Tables_number 12
_cell_length_a 8.543
_cell_length_b 5.721
_cell_length_c 7.312
_cell_angle_alpha 90.00
_cell_angle_beta 91.69
_cell_angle_gamma 90.00
loop_
_symmetry_equiv_pos_as_xyz
'x,y,z'
'-x,-y,-z'
'-x,y,-z'
'x,-y,z'
'x+1/2,y+1/2,z'
'-x+1/2,-y+1/2,-z'
'-x+1/2,y+1/2,-z'
'x+1/2,-y+1/2,z'
loop_
_atom_site_label
_atom_site_type_symbol
_atom_site_fract_x
_atom_site_fract_y
_atom_site_fract_z
Ac1 Ac 0.000 0.000 0.000
Cr1 Cr 0.132 0.500 0.284
Ru1 Ru 0.000 0.000 0.500
O1 O 0.016 0.237 0.298
O2 O 0.207 0.500 0.068
O3 O 0.222 0.000 0.545
```

Properties
**V**: 178.6 Å³/f.u.
**E_tot**: -7.3627 eV/atom
**Magnetic moment**: 1.94 μB/cell